[1]
# PuTlRu

A relaxed structure of PuTlRu (GGA-PBE, Alexandria).

```
PuTlRu
1.0
-2.3604 -2.1915 -0.6855
2.2269 -2.4244 0.0828
-0.9507 1.5733 6.1536
Ru Tl Pu
1 1 1
Direct
0.6718 0.6718 0.3435
0.0196 0.0196 0.0391
0.3087 0.3087 0.6174
```

ΔE_f: 9 kJ/mol of atoms
ρ: 14.06 g/cm3

***

[2]
# PuTlRu

A relaxed structure of PuTlRu (GGA-PBE, Alexandria).

```
PuTlRu
1.0
-2.3745 1.0411 3.0709
-4.9373 -1.8952 -3.1752
4.2038 -4.5192 2.1526
Pu Tl Ru
2 2 2
Direct
0.7852 0.2852 0.5705
0.2148 0.7148 0.4295
0.5000 0.7422 0.0000
0.5000 0.2578 0.0000
0.1282 0.1282 0.2563
0.8718 0.8718 0.7437
```

ΔE_f: 7 kJ/mol of atoms
ρ: 13.63 g/cm3

***

[3]
# Pu3TlRu2

A relaxed structure of Pu3TlRu2 (GGA-PBE, Alexandria).

```
Pu3TlRu2
1.0
3.2857 0.0000 0.0000
0.0000 3.2857 0.0000
0.0000 0.0000 12.1807
Pu Tl Ru
3 1 2
Direct
0.0000 0.0000 0.0000
0.0000 0.0000 0.7103
0.0000 0.0000 0.2897
0.5000 0.5000 0.5000
0.5000 0.5000 0.8568
0.5000 0.5000 0.1432
```

ΔE_f: -13 kJ/mol of atoms
ρ: 14.38 g/cm3